Entry 1:
# LaCo3P PBE relaxed
data_LaCo3P
_cell_length_a 4.329
_cell_length_b 4.329
_cell_length_c 4.329
_cell_angle_alpha 90.00
_cell_angle_beta 90.00
_cell_angle_gamma 90.00
_symmetry_space_group_name_H-M 'P m -3 m'
_symmetry_Int_Tables_number 221
_symmetry_space_group_name_Hall '-P 4 2 3'
loop_
_atom_site_label
_atom_site_type_symbol
_atom_site_fract_x
_atom_site_fract_y
_atom_site_fract_z
_atom_site_occupancy
La1 La 0.000 0.000 0.000 1
Co1 Co 0.000 0.500 0.500 1
P1 P 0.500 0.500 0.500 1
# Crystal system ... cubic
# Volume ... 81.1 Å³/f.u.
# D(E_F) ... 0.516 states/eV per atom
# Raw total energy ... -6.5857 eV/atom

=====

Entry 2:
# Bi2SbPd3 PBE relaxed
data_Bi2SbPd3
_cell_length_a 5.879
_cell_length_b 13.014
_cell_length_c 7.281
_cell_angle_alpha 90.00
_cell_angle_beta 108.70
_cell_angle_gamma 90.00
_symmetry_space_group_name_H-M 'C 1 2/c 1'
_symmetry_Int_Tables_number 15
_symmetry_space_group_name_Hall '-C 2yc'
loop_
_atom_site_label
_atom_site_type_symbol
_atom_site_fract_x
_atom_site_fract_y
_atom_site_fract_z
_atom_site_occupancy
Bi1 Bi 0.000 0.029 0.250 1
Bi2 Bi 0.000 0.319 0.250 1
Sb1 Sb 0.000 0.345 0.750 1
Pd1 Pd 0.000 0.500 0.000 1
Pd2 Pd 0.075 0.165 0.955 1
# ΔE_f (raw) ... -25.27 kJ/mol of atoms
# Crystal system ... monoclinic
# Volume ... 131.9 Å³/f.u.
# D(E_F) ... 0.394 states/eV per atom
# Raw total energy ... -4.8390 eV/atom

=====

Entry 3:
# Ac4SnHRh2 PBE relaxed
data_Ac4SnHRh2
_cell_length_a 4.546
_cell_length_b 14.001
_cell_length_c 14.886
_cell_angle_alpha 90.00
_cell_angle_beta 90.00
_cell_angle_gamma 90.00
_symmetry_space_group_name_H-M 'C m c m'
_symmetry_Int_Tables_number 63
_symmetry_space_group_name_Hall '-C 2c 2'
loop_
_atom_site_label
_atom_site_type_symbol
_atom_site_fract_x
_atom_site_fract_y
_atom_site_fract_z
_atom_site_occupancy
Ac1 Ac 0.000 0.000 0.000 1
Ac2 Ac 0.000 0.270 0.114 1
Ac3 Ac 0.000 0.427 0.750 1
Sn1 Sn 0.000 0.113 0.750 1
H1 H 0.000 0.157 0.250 1
Rh1 Rh 0.000 0.374 0.559 1
# Crystal system ... orthorhombic
# Volume ... 236.9 Å³/f.u.
# D(E_F) ... 0.599 states/eV per atom
# Raw total energy ... -5.4459 eV/atom

=====

Entry 4:
# Tb7Se4S4 PBE relaxed
data_Tb7Se4S4
_cell_length_a 14.221
_cell_length_b 14.221
_cell_length_c 6.915
_cell_angle_alpha 90.00
_cell_angle_beta 90.00
_cell_angle_gamma 90.00
_symmetry_space_group_name_H-M 'I 4/m m m'
_symmetry_Int_Tables_number 139
_symmetry_space_group_name_Hall '-I 4 2'
loop_
_atom_site_label
_atom_site_type_symbol
_atom_site_fract_x
_atom_site_fract_y
_atom_site_fract_z
_atom_site_occupancy
Tb1 Tb 0.000 0.000 0.248 1
Tb2 Tb 0.000 0.278 0.000 1
Tb3 Tb 0.000 0.381 0.500 1
Tb4 Tb 0.206 0.206 0.500 1
Se1 Se 0.000 0.174 0.500 1
Se2 Se 0.126 0.126 0.000 1
S1 S 0.151 0.349 0.250 1
# ΔE_f (raw) ... -173.28 kJ/mol of atoms
# Crystal system ... tetragonal
# Volume ... 349.6 Å³/f.u.
# D(E_F) ... 0.459 states/eV per atom
# Raw total energy ... -5.9866 eV/atom